Compound: SmHo3
Source: Alexandria
Functional: GGA-PBE
Structure: relaxed

a b c (Å): 5.0181 5.0181 5.0181
angles (deg): 90.00 90.00 90.00
Fractional coordinates of all 4 atoms:
Ho  0.0000  0.5000  0.5000
Ho  0.5000  0.5000  0.0000
Ho  0.5000  0.0000  0.5000
Sm  0.0000  0.0000  0.0000

Output
* E: -4.59 eV per atom
* space-group type: Pm-3m
* distance to the lowest polymorph of the same formula: 0.0112 eV/atom

---

Compound: Sm5Ho2
Source: Alexandria
Functional: GGA-PBE
Structure: relaxed

a b c (Å): 3.5934 9.5183 8.0527
angles (deg): 64.90 77.09 67.79
Fractional coordinates of all 7 atoms:
Sm  0.0000  0.0000  0.0000
Sm  0.2846  0.5724  0.2865
Sm  0.1433  0.2839  0.1457
Sm  0.7154  0.4276  0.7135
Sm  0.8567  0.7161  0.8543
Ho  0.4270  0.8587  0.4290
Ho  0.5730  0.1413  0.5710

Output
* E: -4.66 eV per atom
* space-group type: C2/m
* distance to the lowest polymorph of the same formula: 0.0000 eV/atom

---

Compound: Sm7Ho
Source: Alexandria
Functional: GGA-PBE
Structure: relaxed

a b c (Å): 7.2214 7.2214 7.2214
angles (deg): 60.00 60.00 60.00
Fractional coordinates of all 8 atoms:
Sm  0.5000  0.0000  0.5000
Sm  0.0000  0.5000  0.5000
Sm  0.5000  0.5000  0.5000
Sm  0.0000  0.0000  0.5000
Sm  0.0000  0.5000  0.0000
Sm  0.5000  0.5000  0.0000
Sm  0.5000  0.0000  0.0000
Ho  0.0000  0.0000  0.0000

Output
* E: -4.69 eV per atom
* space-group type: Fm-3m

---

Compound: Sm2Ho3
Source: Alexandria
Functional: GGA-PBE
Structure: relaxed

a b c (Å): 5.0411 6.1711 6.1777
angles (deg): 80.49 65.92 65.89
Fractional coordinates of all 5 atoms:
Ho  0.1996  0.6994  0.9013
Ho  0.8004  0.3006  0.0987
Ho  0.0000  0.5000  0.5000
Sm  0.4003  0.8987  0.3007
Sm  0.5997  0.1013  0.6993

Output
* E: -4.62 eV per atom
* space-group type: C2/m

---

Compound: SmHo3
Source: Alexandria
Functional: GGA-PBE
Structure: relaxed

a b c (Å): 7.2213 7.2213 5.6690
angles (deg): 90.00 90.00 120.00
Fractional coordinates of all 8 atoms:
Ho  0.8339  0.1661  0.7500
Ho  0.6678  0.8339  0.2500
Ho  0.1661  0.8339  0.2500
Ho  0.3322  0.1661  0.7500
Ho  0.8339  0.6678  0.7500
Ho  0.1661  0.3322  0.2500
Sm  0.6667  0.3333  0.2500
Sm  0.3333  0.6667  0.7500

Output
* E: -4.60 eV per atom
* space-group type: P6_3/mmc
* distance to the lowest polymorph of the same formula: 0.0000 eV/atom

---

Compound: Sm4Ho
Source: Alexandria
Functional: GGA-PBE
Structure: relaxed

a b c (Å): 3.6059 3.6059 14.8339
angles (deg): 83.14 83.14 60.02
Fractional coordinates of all 5 atoms:
Ho  0.0000  0.0000  0.0000
Sm  0.6009  0.6009  0.1971
Sm  0.7994  0.7994  0.6007
Sm  0.3991  0.3991  0.8029
Sm  0.2006  0.2006  0.3993

Output
* E: -4.68 eV per atom
* space-group type: C2/m
* distance to the lowest polymorph of the same formula: 0.0000 eV/atom

---

Compound: Sm5Ho3
Source: Alexandria
Functional: GGA-PBE
Structure: relaxed

a b c (Å): 5.0619 5.0811 10.1543
angles (deg): 90.00 90.00 90.00
Fractional coordinates of all 8 atoms:
Ho  0.5000  0.0000  0.2516
Ho  0.5000  0.0000  0.7484
Ho  0.5000  0.5000  0.5000
Sm  0.0000  0.0000  0.5000
Sm  0.0000  0.5000  0.2515
Sm  0.5000  0.5000  0.0000
Sm  0.0000  0.5000  0.7485
Sm  0.0000  0.0000  0.0000

Output
* E: -4.65 eV per atom
* space-group type: Pmmm

---

Compound: Sm7Ho5
Source: Alexandria
Functional: GGA-PBE
Structure: relaxed

a b c (Å): 3.6020 9.5086 12.1649
angles (deg): 73.76 81.49 79.08
Fractional coordinates of all 12 atoms:
Sm  0.3606  0.0278  0.2509
Sm  0.6394  0.9722  0.7491
Sm  0.0281  0.6935  0.2502
Sm  0.6672  0.6679  0.9977
Sm  0.3328  0.3321  0.0023
Sm  0.5000  0.5000  0.5000
Sm  0.9719  0.3065  0.7498
Ho  0.6942  0.3601  0.2516
Ho  0.3058  0.6399  0.7484
Ho  0.0000  0.0000  0.0000
Ho  0.1676  0.1661  0.4987
Ho  0.8324  0.8339  0.5013

Output
* E: -4.65 eV per atom
* space-group type: C2/m
* distance to the lowest polymorph of the same formula: 0.0000 eV/atom

---

Compound: SmHo8
Source: Alexandria
Functional: GGA-PBE
Structure: relaxed

a b c (Å): 4.9903 7.9069 7.9069
angles (deg): 84.28 71.60 71.60
Fractional coordinates of all 9 atoms:
Ho  0.6673  0.6655  0.0000
Ho  0.6660  0.3340  0.3340
Ho  0.3340  0.6660  0.6660
Ho  0.3327  0.0000  0.3345
Ho  0.6673  0.0000  0.6655
Ho  0.0000  0.3340  0.6660
Ho  0.3327  0.3345  0.0000
Ho  0.0000  0.6660  0.3340
Sm  0.0000  0.0000  0.0000

Output
* E: -4.57 eV per atom
* space-group type: I4/mmm

---

Compound: Sm3Ho7
Source: Alexandria
Functional: GGA-PBE
Structure: relaxed

a b c (Å): 6.4598 10.7376 10.7376
angles (deg): 120.00 90.00 90.00
Fractional coordinates of all 20 atoms:
Ho  0.3859  0.7580  0.8790
Ho  0.5185  0.3333  0.6667
Ho  0.8859  0.2420  0.1210
Ho  0.3859  0.1210  0.8790
Ho  0.7102  0.5291  0.0582
Ho  0.2102  0.4709  0.5291
Ho  0.8859  0.8790  0.1210
Ho  0.2102  0.4709  0.9418
Ho  0.2102  0.0582  0.5291
Ho  0.0185  0.6667  0.3333
Ho  0.7102  0.9418  0.4709
Ho  0.7102  0.5291  0.4709
Ho  0.3859  0.1210  0.2420
Ho  0.8859  0.8790  0.7580
Sm  0.3670  0.7961  0.5923
Sm  0.8670  0.2039  0.4077
Sm  0.8670  0.5923  0.7961
Sm  0.3670  0.4077  0.2039
Sm  0.8670  0.2039  0.7961
Sm  0.3670  0.7961  0.2039

Output
* E: -4.44 eV per atom
* space-group type: P6_3mc
* distance to the lowest polymorph of the same formula: 0.1681 eV/atom

---

Compound: Sm5Ho3
Source: Alexandria
Functional: GGA-PBE
Structure: relaxed

a b c (Å): 3.5882 3.5882 20.3196
angles (deg): 90.00 90.00 90.00
Fractional coordinates of all 8 atoms:
Sm  0.5000  0.5000  0.3756
Sm  0.0000  0.0000  0.2484
Sm  0.5000  0.5000  0.6244
Sm  0.0000  0.0000  0.7516
Sm  0.0000  0.0000  0.0000
Ho  0.5000  0.5000  0.1238
Ho  0.0000  0.0000  0.5000
Ho  0.5000  0.5000  0.8762

Output
* E: -4.65 eV per atom
* space-group type: P4/mmm

---

Compound: Sm4Ho3
Source: Alexandria
Functional: GGA-PBE
Structure: relaxed

a b c (Å): 3.5803 5.0662 12.9193
angles (deg): 101.31 97.96 90.00
Fractional coordinates of all 7 atoms:
Sm  0.5710  0.0710  0.1419
Sm  0.4290  0.9290  0.8581
Sm  0.2864  0.7864  0.5728
Sm  0.7136  0.2136  0.4272
Ho  0.8576  0.3576  0.7152
Ho  0.1424  0.6424  0.2848
Ho  0.0000  0.5000  0.0000

Output
* E: -4.64 eV per atom
* space-group type: Immm
* distance to the lowest polymorph of the same formula: 0.0000 eV/atom

---

Compound: Sm3Ho5
Source: Alexandria
Functional: GGA-PBE
Structure: relaxed

a b c (Å): 3.6305 5.6792 12.5828
angles (deg): 90.00 90.00 90.00
Fractional coordinates of all 8 atoms:
Ho  0.0000  0.5000  0.2895
Ho  0.5000  0.0000  0.2076
Ho  0.0000  0.0000  0.4541
Ho  0.5000  0.5000  0.0441
Ho  0.0000  0.0000  0.9620
Sm  0.5000  0.0000  0.7110
Sm  0.0000  0.5000  0.7931
Sm  0.5000  0.5000  0.5386

Output
* E: -4.61 eV per atom
* space-group type: Pmm2

---

Compound: Sm7Ho5
Source: Alexandria
Functional: GGA-PBE
Structure: relaxed

a b c (Å): 5.7567 5.6188 14.7504
angles (deg): 101.56 90.00 120.82
Fractional coordinates of all 12 atoms:
Sm  0.2383  0.4766  0.6713
Sm  0.6831  0.3662  0.0832
Sm  0.9565  0.9131  0.7872
Sm  0.7617  0.5234  0.3287
Sm  0.5000  0.0000  0.5000
Sm  0.3169  0.6338  0.9168
Sm  0.0435  0.0869  0.2128
Ho  0.1424  0.2848  0.4402
Ho  0.3776  0.7553  0.1991
Ho  0.0000  0.0000  0.0000
Ho  0.6224  0.2447  0.8009
Ho  0.8576  0.7152  0.5598

Output
* E: -4.48 eV per atom
* space-group type: C2/m
* distance to the lowest polymorph of the same formula: 0.1700 eV/atom

---

Compound: Sm4Ho
Source: Alexandria
Functional: GGA-PBE
Structure: relaxed

a b c (Å): 5.7603 5.7603 5.7603
angles (deg): 90.00 90.00 90.00
Fractional coordinates of all 5 atoms:
Sm  0.0000  0.5000  0.5000
Sm  0.0000  0.0000  0.0000
Sm  0.5000  0.0000  0.5000
Sm  0.5000  0.5000  0.0000
Ho  0.5000  0.5000  0.5000

Output
* E: -4.03 eV per atom
* space-group type: Pm-3m
* distance to the lowest polymorph of the same formula: 0.6483 eV/atom

---

Compound: SmHo3
Source: Alexandria
Functional: GGA-PBE
Structure: relaxed

a b c (Å): 3.6274 5.6431 6.2776
angles (deg): 90.00 90.00 90.00
Fractional coordinates of all 4 atoms:
Ho  0.0000  0.0000  0.9989
Ho  0.5000  0.0000  0.5003
Ho  0.5000  0.5000  0.8329
Sm  0.0000  0.5000  0.3346

Output
* E: -4.60 eV per atom
* space-group type: Pmm2
* distance to the lowest polymorph of the same formula: 0.0033 eV/atom

---

Compound: Sm8Ho
Source: Alexandria
Functional: GGA-PBE
Structure: relaxed

a b c (Å): 5.1101 8.0855 8.0855
angles (deg): 84.27 71.58 71.58
Fractional coordinates of all 9 atoms:
Sm  0.3339  0.0000  0.3321
Sm  0.3339  0.3321  0.0000
Sm  0.6673  0.3327  0.3327
Sm  0.6661  0.0000  0.6679
Sm  0.6661  0.6679  0.0000
Sm  0.0000  0.3327  0.6673
Sm  0.3327  0.6673  0.6673
Sm  0.0000  0.6673  0.3327
Ho  0.0000  0.0000  0.0000

Output
* E: -4.69 eV per atom
* space-group type: I4/mmm

---

Compound: SmHo3
Source: Alexandria
Functional: GGA-PBE
Structure: relaxed

a b c (Å): 3.6291 6.2598 6.7120
angles (deg): 117.80 105.68 90.00
Fractional coordinates of all 4 atoms:
Ho  0.2488  0.5821  0.4976
Ho  0.5000  0.5011  0.0000
Ho  0.7512  0.0846  0.5024
Sm  0.0000  0.9989  0.0000

Output
* E: -4.60 eV per atom
* space-group type: Imm2
* distance to the lowest polymorph of the same formula: 0.0025 eV/atom

---

Compound: SmHo2
Source: Alexandria
Functional: GGA-PBE
Structure: relaxed

a b c (Å): 3.5880 3.5891 8.8334
angles (deg): 90.00 78.18 59.99
Fractional coordinates of all 3 atoms:
Ho  0.0863  0.1984  0.6562
Ho  0.9694  0.7568  0.3282
Sm  0.5279  0.9776  0.9922

Output
* E: -4.63 eV per atom
* space-group type: C2/m
* distance to the lowest polymorph of the same formula: 0.0000 eV/atom

---

Compound: SmHo
Source: Alexandria
Functional: GGA-PBE
Structure: relaxed

a b c (Å): 4.0334 4.0334 4.0334
angles (deg): 90.00 90.00 90.00
Fractional coordinates of all 2 atoms:
Ho  0.0000  0.0000  0.0000
Sm  0.5000  0.5000  0.5000

Output
* E: -4.53 eV per atom
* space-group type: Pm-3m
* distance to the lowest polymorph of the same formula: 0.1080 eV/atom